1.
Here is a relaxed structure of NaBiRhO4 from Alexandria via LeMat-Bulk. Energies are from PBE.

a b c (Å): 6.639 6.639 6.639
angles (deg): 122.25 116.73 90.95
Fractional positions:
Na  0.375  0.125  0.250
Na  0.625  0.875  0.750
Bi  0.000  0.500  0.500
Bi  0.500  0.500  0.000
Rh  0.000  0.000  0.500
Rh  0.000  0.500  0.000
O  0.190  0.748  0.442
O  0.195  0.252  0.942
O  0.221  0.236  0.516
O  0.221  0.705  0.984
O  0.779  0.295  0.016
O  0.779  0.764  0.484
O  0.805  0.748  0.058
O  0.810  0.252  0.558

- Total magnetic moment: 0.00 μB per formula unit
- Formation energy (no corrections): -7.6 eV/f.u.
- Symmetry: Imma (74)
- Energy: -80.0 eV/cell

---

2.
Here is a relaxed structure of TiAl4Ga from Alexandria via LeMat-Bulk. Energies are from PBE.

a b c (Å): 7.142 7.142 7.142
angles (deg): 115.46 115.46 98.05
Fractional positions:
Ti  0.000  0.000  0.000
Ti  0.750  0.250  0.500
Al  0.174  0.501  0.673
Al  0.251  0.079  0.827
Al  0.251  0.424  0.173
Al  0.326  0.991  0.335
Al  0.657  0.991  0.665
Al  0.741  0.576  0.835
Al  0.741  0.907  0.165
Al  0.829  0.501  0.327
Ga  0.244  0.744  0.500
Ga  0.494  0.494  0.000

- Total magnetic moment: 0.25 μB per formula unit
- Polymorph energy (0 for the lowest one): 721 meV/atom
- Energy of formation from the pure elements: 0.544 eV/atom
- Symmetry: I4_1md (109)
- Energy: -45.3 eV/cell

---

3.
Here is a relaxed structure of TaGaP3 from Alexandria via LeMat-Bulk. Energies are from PBE.

a b c (Å): 4.541 4.541 4.541
angles (deg): 90.00 90.00 90.00
Fractional positions:
Ta  0.000  0.000  0.000
Ga  0.500  0.500  0.500
P  0.000  0.500  0.500
P  0.500  0.000  0.500
P  0.500  0.500  0.000

- Total magnetic moment: 0.00 μB per formula unit
- Polymorph energy (0 for the lowest one): 875 meV/atom
- Energy of formation from the pure elements: 1.185 eV/atom
- Symmetry: Pm-3m (221)
- Energy: -25.2 eV/cell

---

4.
Here is a relaxed structure of Sm2Zn2InNi5 from Alexandria via LeMat-Bulk. Energies are from PBE.

a b c (Å): 9.480 9.480 3.641
angles (deg): 90.00 90.00 90.00
Fractional positions:
Sm  0.181  0.319  0.000
Sm  0.319  0.819  0.000
Sm  0.681  0.181  0.000
Sm  0.819  0.681  0.000
Zn  0.115  0.615  0.000
Zn  0.385  0.115  0.000
Zn  0.615  0.885  0.000
Zn  0.885  0.385  0.000
In  0.000  0.000  0.000
In  0.500  0.500  0.000
Ni  0.000  0.500  0.500
Ni  0.062  0.785  0.500
Ni  0.215  0.062  0.500
Ni  0.285  0.562  0.500
Ni  0.438  0.285  0.500
Ni  0.500  0.000  0.500
Ni  0.562  0.715  0.500
Ni  0.715  0.438  0.500
Ni  0.785  0.938  0.500
Ni  0.938  0.215  0.500

- Total magnetic moment: 0.00 μB per formula unit
- Energy of formation from the pure elements: -0.248 eV/atom
- Symmetry: P4/mbm (127)
- Energy: -92.2 eV/cell

---

5.
Here is a relaxed structure of Sn5IrPd2 from Alexandria via LeMat-Bulk. Energies are from PBE.

a b c (Å): 7.122 7.122 13.946
angles (deg): 90.00 90.00 143.23
Fractional positions:
Sn  0.065  0.935  0.638
Sn  0.065  0.935  0.862
Sn  0.172  0.828  0.250
Sn  0.289  0.711  0.569
Sn  0.289  0.711  0.931
Sn  0.711  0.289  0.069
Sn  0.711  0.289  0.431
Sn  0.828  0.172  0.750
Sn  0.935  0.065  0.138
Sn  0.935  0.065  0.362
Ir  0.218  0.782  0.750
Ir  0.782  0.218  0.250
Pd  0.105  0.895  0.051
Pd  0.105  0.895  0.449
Pd  0.895  0.105  0.551
Pd  0.895  0.105  0.949

- Total magnetic moment: 0.00 μB per formula unit
- Energy of formation from the pure elements: -0.155 eV/atom
- Symmetry: Cmcm (63)
- Energy: -81.0 eV/cell

---

6.
Here is a relaxed structure of TlAgPd from Alexandria via LeMat-Bulk. Energies are from PBE.

a b c (Å): 5.729 5.722 7.290
angles (deg): 90.00 95.19 90.00
Fractional positions:
Tl  0.213  0.000  0.175
Tl  0.287  0.500  0.825
Tl  0.713  0.500  0.175
Tl  0.787  0.000  0.825
Ag  0.000  0.249  0.500
Ag  0.000  0.751  0.500
Ag  0.500  0.251  0.500
Ag  0.500  0.749  0.500
Pd  0.211  0.500  0.202
Pd  0.289  0.000  0.798
Pd  0.711  0.000  0.202
Pd  0.789  0.500  0.798

- Total magnetic moment: 0.00 μB per formula unit
- Polymorph energy (0 for the lowest one): 7 meV/atom
- Energy of formation from the pure elements: -0.043 eV/atom
- Symmetry: C2/m (12)
- Energy: -42.2 eV/cell

---

7.
Here is a relaxed structure of Mg4Tl2In from Alexandria via LeMat-Bulk. Energies are from PBE.

a b c (Å): 7.123 7.784 7.928
angles (deg): 109.30 106.97 109.24
Fractional positions:
Mg  0.000  0.000  0.000
Mg  0.045  0.552  0.070
Mg  0.122  0.818  0.618
Mg  0.331  0.141  0.487
Mg  0.446  0.657  0.814
Mg  0.545  0.754  0.467
Mg  0.679  0.392  0.262
Mg  0.879  0.200  0.578
Tl  0.126  0.391  0.369
Tl  0.298  0.303  0.911
Tl  0.435  0.940  0.158
Tl  0.770  0.549  0.694
In  0.634  0.117  0.843
In  0.828  0.809  0.239

- Total magnetic moment: 0.00 μB per formula unit
- Polymorph energy (0 for the lowest one): 0 meV/atom
- Energy of formation from the pure elements: -0.001 eV/atom
- Symmetry: P1 (1)
- Energy: -27.7 eV/cell

---

8.
Here is a relaxed structure of HfTcS3 from Alexandria via LeMat-Bulk. Energies are from PBE.

a b c (Å): 4.905 4.905 4.905
angles (deg): 90.00 90.00 90.00
Fractional positions:
Hf  0.000  0.000  0.000
Tc  0.500  0.500  0.500
S  0.000  0.000  0.500
S  0.000  0.500  0.000
S  0.500  0.000  0.000

- Total magnetic moment: 5.00 μB per formula unit
- Polymorph energy (0 for the lowest one): 0 meV/atom
- Formation energy (no corrections): 0.2 eV/f.u.
- Symmetry: Pm-3m (221)
- Energy: -32.5 eV/cell

---

9.
Here is a relaxed structure of BaBeRu from Alexandria via LeMat-Bulk. Energies are from PBE.

a b c (Å): 6.501 6.501 6.501
angles (deg): 90.00 90.00 90.00
Fractional positions:
Ba  0.000  0.000  0.000
Ba  0.000  0.500  0.500
Ba  0.500  0.000  0.500
Ba  0.500  0.500  0.000
Be  0.000  0.000  0.500
Be  0.000  0.500  0.000
Be  0.500  0.000  0.000
Be  0.500  0.500  0.500
Ru  0.250  0.250  0.250
Ru  0.250  0.750  0.750
Ru  0.750  0.250  0.750
Ru  0.750  0.750  0.250

- Total magnetic moment: 0.00 μB per formula unit
- Polymorph energy (0 for the lowest one): 625 meV/atom
- Energy of formation from the pure elements: 0.902 eV/atom
- Symmetry: F-43m (216)
- Energy: -48.9 eV/cell

---

10.
Here is a relaxed structure of Tm4Ge6Rh7 from Alexandria via LeMat-Bulk. Energies are from PBE.

a b c (Å): 7.223 7.223 7.223
angles (deg): 109.47 109.47 109.47
Fractional positions:
Tm  0.000  0.000  0.500
Tm  0.000  0.500  0.000
Tm  0.500  0.000  0.000
Tm  0.500  0.500  0.500
Ge  0.000  0.319  0.319
Ge  0.000  0.681  0.681
Ge  0.319  0.000  0.319
Ge  0.319  0.319  0.000
Ge  0.681  0.000  0.681
Ge  0.681  0.681  0.000
Rh  0.000  0.000  0.000
Rh  0.250  0.500  0.750
Rh  0.250  0.750  0.500
Rh  0.500  0.250  0.750
Rh  0.500  0.750  0.250
Rh  0.750  0.250  0.500
Rh  0.750  0.500  0.250

- Total magnetic moment: 0.00 μB per formula unit
- Energy of formation from the pure elements: -0.967 eV/atom
- Symmetry: Im-3m (229)
- Energy: -113.5 eV/cell

---

11.
Here is a relaxed structure of RbPdSe3 from Alexandria via LeMat-Bulk. Energies are from PBE.

a b c (Å): 6.994 6.994 7.739
angles (deg): 101.95 101.95 113.04
Fractional positions:
Rb  0.234  0.766  0.750
Rb  0.766  0.234  0.250
Pd  0.480  0.520  0.250
Pd  0.520  0.480  0.750
Se  0.116  0.884  0.250
Se  0.280  0.285  0.418
Se  0.285  0.280  0.918
Se  0.715  0.720  0.082
Se  0.720  0.715  0.582
Se  0.884  0.116  0.750

- Total magnetic moment: 0.00 μB per formula unit
- Polymorph energy (0 for the lowest one): 0 meV/atom
- Formation energy (no corrections): -2.4 eV/f.u.
- Symmetry: C2/c (15)
- Energy: -38.1 eV/cell

---

12.
Here is a relaxed structure of Fe2Pd4Au3 from Alexandria via LeMat-Bulk. Energies are from PBE.

a b c (Å): 4.850 4.850 11.694
angles (deg): 111.56 111.56 33.71
Fractional positions:
Fe  0.051  0.051  0.220
Fe  0.949  0.949  0.780
Pd  0.182  0.182  0.676
Pd  0.286  0.286  0.114
Pd  0.714  0.714  0.886
Pd  0.818  0.818  0.324
Au  0.397  0.397  0.563
Au  0.500  0.500  0.000
Au  0.603  0.603  0.437

- Total magnetic moment: 7.06 μB per formula unit
- Energy of formation from the pure elements: -0.032 eV/atom
- Symmetry: C2/m (12)
- Energy: -47.8 eV/cell

---

> Look up the energy of the fifth one.

-81.0 eV/cell

---

Repeat the twelfth record exactly.
Here is a relaxed structure of Fe2Pd4Au3 from Alexandria via LeMat-Bulk. Energies are from PBE.

a b c (Å): 4.850 4.850 11.694
angles (deg): 111.56 111.56 33.71
Fractional positions:
Fe  0.051  0.051  0.220
Fe  0.949  0.949  0.780
Pd  0.182  0.182  0.676
Pd  0.286  0.286  0.114
Pd  0.714  0.714  0.886
Pd  0.818  0.818  0.324
Au  0.397  0.397  0.563
Au  0.500  0.500  0.000
Au  0.603  0.603  0.437

- Total magnetic moment: 7.06 μB per formula unit
- Energy of formation from the pure elements: -0.032 eV/atom
- Symmetry: C2/m (12)
- Energy: -47.8 eV/cell